6
Lattice="-1.7050 2.5748 1.4357 -0.5349 -1.9011 2.7744 12.6012 4.2710 3.2660" Properties=species:S:1:pos:R:3 comment="HoPaTa, optimized geometry, DFT PBE" delta_e_f_ev_per_atom=0.269 dos_at_fermi_per_ev_cell=10.07 density_g_cm3=12.2 pbc="T T T"
Ta 6.4245 2.5784 3.0054
Ta 3.9369 2.3663 4.4706
Pa 3.4883 1.4000 1.6318
Pa 6.8731 3.5447 5.8442
Ho 0.3763 0.9374 2.8050
Ho 9.9851 4.0074 4.6710

11
Lattice="7.2252 -0.0347 0.0759 -3.6012 6.2639 0.0759 -1.2807 -2.2014 7.7602" Properties=species:S:1:pos:R:3 comment="K2Ce2MgSe6, optimized geometry, DFT PBE" formation_energy_uncorrected_ev_per_atom=-1.486 density_g_cm3=4.0 pbc="T T T"
K 5.4303 1.0096 0.0759
K -1.8063 5.2196 0.0759
Ce -0.6255 3.0594 3.9560
Ce 2.9688 0.9684 3.9560
Mg -0.6404 -1.1007 3.8801
Se 1.7943 3.0842 5.5078
Se -1.8591 0.9496 5.4507
Se 0.5489 0.9436 2.4042
Se 1.7443 -1.1468 5.4507
Se 4.2023 3.0783 2.4613
Se 0.5989 5.1746 2.4613

10
Lattice="8.6861 0.0041 0.0025 4.3466 7.5196 0.0004 4.3459 2.5073 7.7227" Properties=species:S:1:pos:R:3 comment="RbIn2BiI6, optimized geometry, DFT PBE" formation_energy_uncorrected_ev_per_atom=-0.652 dos_at_fermi_per_ev_cell=0.00 density_g_cm3=4.2 pbc="T T T"
Rb 13.0330 7.5240 4.2872
In 8.6871 5.0129 3.4399
In 4.3475 2.5079 7.6119
Bi 4.3446 2.5081 0.1403
I 6.9316 2.4225 1.8577
I 7.3207 7.8295 1.8577
I 11.8135 4.7966 1.8593
I 9.7566 7.2247 5.8949
I 10.0712 2.9864 5.8987
I 6.2427 4.8341 5.8970

3
Lattice="4.8766 0.0000 0.0000 2.4383 4.2232 0.0000 2.4383 1.4077 3.9817" Properties=species:S:1:pos:R:3 comment="NaPmAs, optimized geometry, DFT PBE" de_polymorph_mev_per_atom=2.6 delta_e_f_ev_per_atom=-0.705 dos_at_fermi_per_ev_cell=1.78 density_g_cm3=4.9 pbc="T T T"
Na 0.0000 0.0000 0.0000
As 2.4383 1.4077 0.9954
Pm 4.8766 2.8155 1.9909